w:
Density functional theory data (PBE-GGA) for an optimized crystal structure of Hg2TeP.

Output
DOS(E_F) = 3.325 states/eV/cell
Crystal system = cubic
Space group = Fm-3m (225)
Total moment = 0.00 μB per cell

Cell and atoms, written as POSCAR:
```
Hg2TeP
1.0
0.763 1.808 4.741
0.450 5.052 0.777
-3.738 2.570 2.398
P Hg Te
1 2 1
Direct
0.000 0.000 0.000
0.750 0.750 0.750
0.250 0.250 0.250
0.500 0.500 0.500
```

x:
Density functional theory data (PBE-GGA) for an optimized crystal structure of Hg2TeP.

Output
DOS(E_F) = 0.670 states/eV/cell
Crystal system = monoclinic
Space group = C2/m (12)
Total moment = 0.00 μB per cell

Cell and atoms, written as POSCAR:
```
Hg2TeP
1.0
4.520 -6.157 1.540
6.465 -3.184 2.963
-1.019 -1.068 3.626
Te Hg P
1 2 1
Direct
0.000 0.000 0.500
0.199 0.199 0.801
0.801 0.801 0.199
0.500 0.500 0.000
```

y:
Density functional theory data (PBE-GGA) for an optimized crystal structure of Hg2TeP.

Output
DOS(E_F) = 2.053 states/eV/cell
Crystal system = trigonal
Space group = R3m (160)
Total moment = 0.00 μB per cell

Cell and atoms, written as POSCAR:
```
Hg2TeP
1.0
7.684 -1.951 -0.064
7.684 1.951 -0.064
7.216 0.000 3.284
Te P Hg
1 1 2
Direct
0.237 0.237 0.237
0.501 0.501 0.501
0.758 0.758 0.758
0.004 0.004 0.004
```

z:
Density functional theory data (PBE-GGA) for an optimized crystal structure of Hg2TeP.

Output
DOS(E_F) = 1.406 states/eV/cell
Crystal system = monoclinic
Space group = Cm (8)
Total moment = 0.00 μB per cell

Cell and atoms, written as POSCAR:
```
Hg2TeP
1.0
1.260 0.399 4.114
1.380 -2.977 2.811
7.437 0.596 -0.859
Hg Te P
2 1 1
Direct
0.770 0.770 0.726
0.988 0.988 0.985
0.194 0.194 0.280
0.549 0.549 0.510
```

Relative stability in meV/atom, measured from the most stable structure: w 416; x 86; y 36; z 0

w:
Density functional theory data (PBE-GGA) for an optimized crystal structure of Hg2TeP.

Output
DOS(E_F) = 0.548 states/eV/cell
Crystal system = tetragonal
Space group = P4mm (99)
Total moment = 0.00 μB per cell

Cell and atoms, written as POSCAR:
```
Hg2TeP
1.0
3.527 0.000 0.000
0.000 3.527 0.000
0.000 0.000 9.333
Hg P Te
2 1 1
Direct
0.500 0.500 0.265
0.000 0.000 0.004
0.000 0.000 0.558
0.500 0.500 0.673
```

x:
Density functional theory data (PBE-GGA) for an optimized crystal structure of Hg2TeP.

Output
DOS(E_F) = 3.184 states/eV/cell
Crystal system = orthorhombic
Space group = Pmmm (47)
Total moment = 0.00 μB per cell

Cell and atoms, written as POSCAR:
```
Hg2TeP
1.0
3.953 0.000 0.000
0.000 4.085 0.000
0.000 0.000 6.725
P Hg Te
1 2 1
Direct
0.500 0.000 0.500
0.500 0.500 0.000
0.000 0.000 0.000
0.000 0.500 0.500
```

y:
Density functional theory data (PBE-GGA) for an optimized crystal structure of Hg2TeP.

Output
DOS(E_F) = 1.794 states/eV/cell
Crystal system = trigonal
Space group = R-3m (166)
Total moment = 0.00 μB per cell

Cell and atoms, written as POSCAR:
```
Hg2TeP
1.0
11.710 -1.562 0.090
11.710 1.562 0.090
11.481 0.000 2.786
Hg P Te
2 1 1
Direct
0.238 0.238 0.238
0.762 0.762 0.762
0.500 0.500 0.500
0.000 0.000 0.000
```

z:
Density functional theory data (PBE-GGA) for an optimized crystal structure of Hg2TeP.

Output
DOS(E_F) = 5.796 states/eV/cell
Crystal system = tetragonal
Space group = I-42d (122)
Total moment = 0.00 μB per cell

Cell and atoms, written as POSCAR:
```
Hg2TeP
1.0
-2.380 -5.163 -2.724
-1.031 -2.524 5.684
-7.289 -1.325 1.585
P Hg Te
2 4 2
Direct
0.500 0.500 0.000
0.250 0.750 0.500
0.178 0.625 0.250
0.572 0.125 0.250
0.375 0.428 0.750
0.875 0.822 0.750
0.750 0.250 0.500
0.000 0.000 0.000
```

Relative stability in meV/atom, measured from the most stable structure: w 85; x 202; y 379; z 0

w:
Density functional theory data (PBE-GGA) for an optimized crystal structure of Hg2TeP.

Output
DOS(E_F) = 1.308 states/eV/cell
Crystal system = orthorhombic
Space group = Cmmm (65)
Total moment = 0.00 μB per cell

Cell and atoms, written as POSCAR:
```
Hg2TeP
1.0
-4.958 2.119 4.919
0.167 -4.968 -5.343
1.025 -2.006 1.897
Hg P Te
2 1 1
Direct
0.500 0.000 0.000
0.000 0.500 0.000
0.500 0.500 0.500
0.000 0.000 0.500
```

x:
Density functional theory data (PBE-GGA) for an optimized crystal structure of Hg2TeP.

Output
DOS(E_F) = 1.114 states/eV/cell
Crystal system = orthorhombic
Space group = Imm2 (44)
Total moment = 0.00 μB per cell

Cell and atoms, written as POSCAR:
```
Hg2TeP
1.0
-1.794 3.159 5.178
1.794 -3.159 5.178
1.794 3.159 -5.178
Hg P Te
2 1 1
Direct
0.005 0.005 0.000
0.726 0.226 0.500
0.468 0.468 0.000
0.301 0.801 0.500
```

Relative stability in meV/atom, measured from the most stable structure: w 146; x 0

w:
Density functional theory data (PBE-GGA) for an optimized crystal structure of HgTeP.

Output
DOS(E_F) = 0.479 states/eV/cell
Crystal system = trigonal
Space group = P3m1 (156)
Total moment = 0.00 μB per cell

Cell and atoms, written as POSCAR:
```
HgTeP
1.0
2.188 -3.790 0.000
2.188 3.790 0.000
0.000 0.000 4.660
P Te Hg
1 1 1
Direct
0.667 0.333 0.372
0.333 0.667 0.594
0.000 0.000 0.034
```

x:
Density functional theory data (PBE-GGA) for an optimized crystal structure of HgTeP.

Output
DOS(E_F) = 2.854 states/eV/cell
Crystal system = cubic
Space group = F-43m (216)
Total moment = 0.00 μB per cell

Cell and atoms, written as POSCAR:
```
HgTeP
1.0
0.553 -4.553 -1.463
-3.538 -3.194 0.681
-2.517 -1.643 -3.761
Hg Te P
1 1 1
Direct
0.500 0.500 0.500
0.000 0.000 0.000
0.250 0.250 0.250
```

y:
Density functional theory data (PBE-GGA) for an optimized crystal structure of HgTeP.

Output
DOS(E_F) = 1.688 states/eV/cell
Crystal system = orthorhombic
Space group = Fmm2 (42)
Total moment = 0.00 μB per cell

Cell and atoms, written as POSCAR:
```
HgTeP
1.0
0.000 3.734 7.954
1.768 0.000 7.954
1.768 3.734 0.000
Te Hg P
1 1 1
Direct
0.703 0.703 0.297
0.987 0.987 0.013
0.311 0.311 0.689
```

z:
Density functional theory data (PBE-GGA) for an optimized crystal structure of HgTeP.

Output
DOS(E_F) = 1.586 states/eV/cell
Crystal system = tetragonal
Space group = I4mm (107)
Total moment = 0.00 μB per cell

Cell and atoms, written as POSCAR:
```
HgTeP
1.0
7.222 1.452 2.053
5.392 5.411 -0.367
-7.112 -2.482 1.318
Hg Te P
1 1 1
Direct
0.993 0.993 0.000
0.716 0.716 0.000
0.291 0.291 0.000
```

Relative stability in meV/atom, measured from the most stable structure: w 22; x 227; y 62; z 0

w:
Density functional theory data (PBE-GGA) for an optimized crystal structure of Hg3TeP.

Output
DOS(E_F) = 2.474 states/eV/cell
Crystal system = cubic
Space group = Pm-3m (221)
Total moment = 0.00 μB per cell

Cell and atoms, written as POSCAR:
```
Hg3TeP
1.0
5.152 0.000 0.000
0.000 5.152 0.000
0.000 0.000 5.152
Hg Te P
3 1 1
Direct
0.500 0.000 0.000
0.000 0.000 0.500
0.000 0.500 0.000
0.500 0.500 0.500
0.000 0.000 0.000
```

x:
Density functional theory data (PBE-GGA) for an optimized crystal structure of Hg3TeP.

Output
DOS(E_F) = 4.202 states/eV/cell
Crystal system = cubic
Space group = Pm-3m (221)
Total moment = 2.13 μB per cell

Cell and atoms, written as POSCAR:
```
Hg3TeP
1.0
5.811 0.000 0.000
0.000 5.811 0.000
0.000 0.000 5.811
Te Hg P
1 3 1
Direct
0.000 0.000 0.000
0.000 0.000 0.500
0.000 0.500 0.000
0.500 0.000 0.000
0.500 0.500 0.500
```

Relative stability in meV/atom, measured from the most stable structure: w 0; x 557

w:
Density functional theory data (PBE-GGA) for an optimized crystal structure of Th2HgP.

Output
DOS(E_F) = 4.181 states/eV/cell
Crystal system = trigonal
Space group = R3m (160)
Total moment = 0.00 μB per cell

Cell and atoms, written as POSCAR:
```
Th2HgP
1.0
-2.971 2.667 0.149
-1.928 1.031 -3.344
-6.962 -4.771 0.157
Hg P Th
1 1 2
Direct
0.499 0.499 0.502
0.667 0.667 0.998
0.069 0.069 0.794
0.265 0.265 0.206
```

x:
Density functional theory data (PBE-GGA) for an optimized crystal structure of Th2HgP.

Output
DOS(E_F) = 4.334 states/eV/cell
Crystal system = trigonal
Space group = R-3m (166)
Total moment = 0.00 μB per cell

Cell and atoms, written as POSCAR:
```
Th2HgP
1.0
4.051 0.000 0.000
2.025 3.508 0.000
2.025 1.169 7.928
Hg P Th
1 1 2
Direct
0.500 0.500 0.500
0.000 0.000 0.000
0.736 0.736 0.791
0.264 0.264 0.209
```

Relative stability in meV/atom, measured from the most stable structure: w 18; x 0